(1)
A geometry-optimized FeNiW4C2 structure. Source: OQMD, functional PBE.

a = 3.0117 Å, b = 3.0117 Å, c = 12.8395 Å
α = 90.00°, β = 90.00°, γ = 120.00°
Fractional coordinates of all 8 atoms:
W: 0.6667 0.3333 0.1546
W: 0.0000 0.0000 0.3421
C: 0.3333 0.6667 0.2493
C: 0.3333 0.6667 0.7507
W: 0.0000 0.0000 0.6579
W: 0.6667 0.3333 0.8454
Fe: 0.0000 0.0000 0.0000
Ni: 0.6667 0.3333 0.5000

## Properties
Crystal system: hexagonal
Uncorrected energy in eV per atom: -10.330

---

(2)
A geometry-optimized PmZn2 structure. Source: OQMD, functional PBE.

a = 4.9982 Å, b = 10.5965 Å, c = 4.7461 Å
α = 90.00°, β = 90.00°, γ = 90.00°
Fractional coordinates of all 12 atoms:
Pm: 0.7801 0.1622 0.5000
Zn: 0.4531 0.4558 0.0000
Zn: 0.5587 0.8333 0.0000
Zn: 0.3802 0.7108 0.5000
Zn: 0.4531 0.2108 0.0000
Pm: 0.0532 0.0044 0.0000
Zn: 0.8652 0.8333 0.5000
Pm: 0.0532 0.6622 0.0000
Pm: 0.7801 0.5044 0.5000
Zn: 0.3802 0.9558 0.5000
Zn: 0.2746 0.3333 0.5000
Zn: 0.9681 0.3333 0.0000

## Properties
Crystal system: orthorhombic
Uncorrected energy in eV per atom: -2.527

---

(3)
A geometry-optimized Ho2N structure. Source: OQMD, functional PBE.

a = 4.2005 Å, b = 4.2005 Å, c = 4.2005 Å
α = 60.00°, β = 60.00°, γ = 60.00°
Fractional coordinates of all 3 atoms:
Ho: 0.7500 0.7500 0.7500
Ho: 0.2500 0.2500 0.2500
N: 0.0000 0.0000 0.0000

## Properties
Crystal system: cubic
Uncorrected energy in eV per atom: -6.139

---

(4)
A geometry-optimized LiDyCdS3 structure. Source: OQMD, functional PBE.

a = 10.8970 Å, b = 3.9045 Å, c = 11.4829 Å
α = 90.00°, β = 90.00°, γ = 90.00°
Fractional coordinates of all 24 atoms:
S: 0.6230 0.7500 0.5837
Cd: 0.3714 0.7500 0.5916
Dy: 0.3761 0.7500 0.2460
S: 0.3737 0.2500 0.7575
S: 0.6263 0.7500 0.2425
Li: 0.3778 0.7500 0.9250
Dy: 0.1239 0.2500 0.7460
S: 0.3761 0.2500 0.0826
Li: 0.8778 0.7500 0.5750
Dy: 0.8761 0.7500 0.2540
Cd: 0.8714 0.7500 0.9084
Cd: 0.1286 0.2500 0.0916
S: 0.6239 0.7500 0.9174
S: 0.8761 0.2500 0.4174
Dy: 0.6239 0.2500 0.7540
S: 0.1239 0.7500 0.5826
S: 0.8770 0.2500 0.0837
S: 0.1263 0.7500 0.2575
S: 0.3770 0.2500 0.4163
S: 0.8737 0.2500 0.7425
S: 0.1230 0.7500 0.9163
Li: 0.6222 0.2500 0.0750
Li: 0.1222 0.2500 0.4250
Cd: 0.6286 0.2500 0.4084

## Properties
Crystal system: orthorhombic
Uncorrected energy in eV per atom: -4.687

---

(5)
A geometry-optimized K2SnHgSb2 structure. Source: OQMD, functional PBE.

a = 4.7577 Å, b = 4.7577 Å, c = 11.2259 Å
α = 90.00°, β = 90.00°, γ = 120.00°
Fractional coordinates of all 6 atoms:
Sb: 0.6667 0.3333 0.0038
Sb: 0.3333 0.6667 0.4408
K: 0.0000 0.0000 0.7692
Hg: 0.3333 0.6667 0.9960
K: 0.0000 0.0000 0.2322
Sn: 0.6667 0.3333 0.5580

## Properties
Crystal system: trigonal
Uncorrected energy in eV per atom: -2.769

---

(6)
A geometry-optimized Gd16In4Ir4O structure. Source: OQMD, functional PBE.

a = 9.7205 Å, b = 9.7205 Å, c = 9.7205 Å
α = 60.00°, β = 60.00°, γ = 60.00°
Fractional coordinates of all 25 atoms:
Gd: 0.4414 0.4414 0.0587
Gd: 0.9009 0.9009 0.2973
Gd: 0.3162 0.3162 0.6838
Gd: 0.3162 0.6838 0.3162
Gd: 0.9009 0.9009 0.9009
Gd: 0.4414 0.0587 0.4414
Ir: 0.6748 0.1084 0.1084
Gd: 0.2973 0.9009 0.9009
Ir: 0.1084 0.1084 0.1084
Gd: 0.6838 0.3162 0.3162
In: 0.6676 0.6676 0.9973
Gd: 0.9009 0.2973 0.9009
Gd: 0.0587 0.4414 0.0587
In: 0.6676 0.9973 0.6676
Gd: 0.4414 0.0587 0.0587
O: 0.5000 0.5000 0.5000
Gd: 0.0587 0.0587 0.4414
Ir: 0.1084 0.6748 0.1084
In: 0.6676 0.6676 0.6676
Gd: 0.6838 0.3162 0.6838
Gd: 0.6838 0.6838 0.3162
Ir: 0.1084 0.1084 0.6748
Gd: 0.0587 0.4414 0.4414
In: 0.9973 0.6676 0.6676
Gd: 0.3162 0.6838 0.6838

## Properties
Crystal system: cubic
Uncorrected energy in eV per atom: -5.803

---

(7)
A geometry-optimized NdHfZn structure. Source: OQMD, functional PBE.

a = 4.7934 Å, b = 4.7934 Å, c = 4.7934 Å
α = 60.00°, β = 60.00°, γ = 60.00°
Fractional coordinates of all 3 atoms:
Nd: 0.7500 0.7500 0.7500
Zn: 0.0000 0.0000 0.0000
Hf: 0.2500 0.2500 0.2500

## Properties
Crystal system: cubic
Uncorrected energy in eV per atom: -5.009

---

(8)
A geometry-optimized Zr3PdSe structure. Source: OQMD, functional PBE.

a = 6.2920 Å, b = 6.2920 Å, c = 9.7314 Å
α = 90.00°, β = 90.00°, γ = 146.65°
Fractional coordinates of all 10 atoms:
Se: 0.5000 0.5000 0.0000
Zr: 0.8448 0.1552 0.4300
Zr: 0.1552 0.8448 0.9300
Zr: 0.1552 0.8448 0.5700
Pd: 0.2453 0.7547 0.2500
Se: 0.5000 0.5000 0.5000
Zr: 0.4279 0.5721 0.7500
Pd: 0.7547 0.2453 0.7500
Zr: 0.8448 0.1552 0.0700
Zr: 0.5721 0.4279 0.2500

## Properties
Crystal system: orthorhombic
Uncorrected energy in eV per atom: -7.565

---

(9)
A geometry-optimized LiPd3N5 structure. Source: OQMD, functional PBE.

a = 5.5865 Å, b = 5.5865 Å, c = 3.9760 Å
α = 90.00°, β = 90.00°, γ = 120.00°
Fractional coordinates of all 9 atoms:
Li: 0.0000 0.0000 0.0000
Pd: 0.0000 0.5000 0.5000
N: 0.3333 0.6667 0.1535
N: 0.6667 0.3333 0.8465
N: 0.0000 0.0000 0.5000
Pd: 0.5000 0.5000 0.5000
N: 0.3333 0.6667 0.8465
Pd: 0.5000 0.0000 0.5000
N: 0.6667 0.3333 0.1535

## Properties
Crystal system: hexagonal
Uncorrected energy in eV per atom: -5.951

---

(10)
A geometry-optimized PaTePO structure. Source: OQMD, functional PBE.

a = 4.0831 Å, b = 4.0831 Å, c = 9.7409 Å
α = 90.00°, β = 90.00°, γ = 90.00°
Fractional coordinates of all 8 atoms:
Te: 0.2500 0.7500 0.5000
Te: 0.7500 0.2500 0.5000
O: 0.7500 0.2500 0.0000
Pa: 0.7500 0.7500 0.8650
O: 0.2500 0.7500 0.0000
P: 0.7500 0.7500 0.2517
P: 0.2500 0.2500 0.7483
Pa: 0.2500 0.2500 0.1350

## Properties
Crystal system: tetragonal
Uncorrected energy in eV per atom: -6.520

---

(11)
A geometry-optimized KPrO3 structure. Source: OQMD, functional PBE.

a = 3.8002 Å, b = 3.8002 Å, c = 6.0617 Å
α = 90.00°, β = 90.00°, γ = 90.00°
Fractional coordinates of all 5 atoms:
Pr: 0.0000 0.0000 0.9381
O: 0.0000 0.5000 0.7214
O: 0.5000 0.5000 0.0606
K: 0.5000 0.5000 0.4585
O: 0.5000 0.0000 0.7214

## Properties
Crystal system: tetragonal
Uncorrected energy in eV per atom: -5.634

---

(12)
A geometry-optimized HfAlCu6 structure. Source: OQMD, functional PBE.

a = 4.3353 Å, b = 5.2788 Å, c = 4.6080 Å
α = 90.00°, β = 90.00°, γ = 90.00°
Fractional coordinates of all 8 atoms:
Cu: 0.5000 0.2344 0.8402
Cu: 0.0000 0.5000 0.6947
Hf: 0.5000 0.5000 0.3441
Cu: 0.5000 0.0000 0.3354
Cu: 0.0000 0.7610 0.1520
Al: 0.0000 0.0000 0.6414
Cu: 0.0000 0.2390 0.1520
Cu: 0.5000 0.7656 0.8402

## Properties
Crystal system: orthorhombic
Uncorrected energy in eV per atom: -4.612

---

(13)
A geometry-optimized KNdNiTe3 structure. Source: OQMD, functional PBE.

a = 9.7503 Å, b = 4.3532 Å, c = 10.2140 Å
α = 90.00°, β = 108.47°, γ = 90.00°
Fractional coordinates of all 12 atoms:
Te: 0.8319 0.2500 0.9731
Nd: 0.3194 0.7500 0.3589
Te: 0.9126 0.7500 0.6390
Ni: 0.0965 0.2500 0.1150
Te: 0.0874 0.2500 0.3610
K: 0.7866 0.7500 0.2470
Te: 0.1681 0.7500 0.0269
Te: 0.4607 0.7500 0.6810
K: 0.2134 0.2500 0.7530
Te: 0.5393 0.2500 0.3190
Nd: 0.6806 0.2500 0.6411
Ni: 0.9035 0.7500 0.8850

## Properties
Crystal system: monoclinic
Uncorrected energy in eV per atom: -4.384

---

(14)
A geometry-optimized NiGePdPt structure. Source: OQMD, functional PBE.

a = 4.3255 Å, b = 4.3255 Å, c = 4.3255 Å
α = 60.00°, β = 60.00°, γ = 60.00°
Fractional coordinates of all 4 atoms:
Ge: 0.0000 0.0000 0.0000
Pd: 0.5000 0.5000 0.5000
Pt: 0.2500 0.2500 0.2500
Ni: 0.7500 0.7500 0.7500

## Properties
Crystal system: cubic
Uncorrected energy in eV per atom: -5.532

---

(15)
A geometry-optimized KGdCuTe3 structure. Source: OQMD, functional PBE.

a = 8.2921 Å, b = 8.2921 Å, c = 11.4011 Å
α = 90.00°, β = 90.00°, γ = 150.44°
Fractional coordinates of all 12 atoms:
Cu: 0.9676 0.0324 0.7500
Te: 0.5701 0.4299 0.7500
Cu: 0.0324 0.9676 0.2500
K: 0.7519 0.2481 0.2500
Te: 0.1318 0.8682 0.0665
Gd: 0.5000 0.5000 0.5000
Te: 0.4299 0.5701 0.2500
K: 0.2481 0.7519 0.7500
Te: 0.1318 0.8682 0.4335
Te: 0.8682 0.1318 0.5665
Te: 0.8682 0.1318 0.9335
Gd: 0.5000 0.5000 0.0000

## Properties
Crystal system: orthorhombic
Uncorrected energy in eV per atom: -4.065

---

(16)
A geometry-optimized TaZn2Ge structure. Source: OQMD, functional PBE.

a = 4.5172 Å, b = 4.5172 Å, c = 4.5172 Å
α = 60.00°, β = 60.00°, γ = 60.00°
Fractional coordinates of all 4 atoms:
Ge: 0.5000 0.5000 0.5000
Zn: 0.7500 0.7500 0.7500
Zn: 0.0000 0.0000 0.0000
Ta: 0.2500 0.2500 0.2500

## Properties
Crystal system: cubic
Uncorrected energy in eV per atom: -4.369

---

(17)
A geometry-optimized Nb3Al2N structure. Source: OQMD, functional PBE.

a = 7.0670 Å, b = 7.0670 Å, c = 7.0670 Å
α = 90.00°, β = 90.00°, γ = 90.00°
Fractional coordinates of all 24 atoms:
N: 0.3750 0.3750 0.3750
Nb: 0.1250 0.2049 0.4549
Al: 0.4288 0.9288 0.5712
Nb: 0.7951 0.9549 0.3750
Al: 0.1788 0.8212 0.3212
N: 0.8750 0.1250 0.6250
Nb: 0.4549 0.1250 0.2049
Nb: 0.9549 0.3750 0.7951
Nb: 0.6250 0.2951 0.5451
N: 0.1250 0.6250 0.8750
Nb: 0.3750 0.7951 0.9549
Al: 0.0712 0.0712 0.0712
Nb: 0.8750 0.7049 0.0451
Nb: 0.2049 0.4549 0.1250
Nb: 0.0451 0.8750 0.7049
Al: 0.5712 0.4288 0.9288
Al: 0.8212 0.3212 0.1788
Nb: 0.5451 0.6250 0.2951
Nb: 0.2951 0.5451 0.6250
Nb: 0.7049 0.0451 0.8750
Al: 0.3212 0.1788 0.8212
N: 0.6250 0.8750 0.1250
Al: 0.6788 0.6788 0.6788
Al: 0.9288 0.5712 0.4288

## Properties
Crystal system: cubic
Uncorrected energy in eV per atom: -8.359

---

(18)
A geometry-optimized Gd2YSn7 structure. Source: OQMD, functional PBE.

a = 13.4620 Å, b = 13.4620 Å, c = 4.4722 Å
α = 90.00°, β = 90.00°, γ = 161.13°
Fractional coordinates of all 10 atoms:
Y: 0.5000 0.5000 0.5000
Gd: 0.8113 0.1887 0.0000
Sn: 0.0000 0.0000 0.0000
Sn: 0.9034 0.0966 0.5000
Sn: 0.7115 0.2885 0.5000
Sn: 0.2885 0.7115 0.5000
Sn: 0.4039 0.5961 0.0000
Gd: 0.1887 0.8113 0.0000
Sn: 0.5961 0.4039 0.0000
Sn: 0.0966 0.9034 0.5000

## Properties
Crystal system: orthorhombic
Uncorrected energy in eV per atom: -4.939

---

(19)
A geometry-optimized LuHfCu2Sn2 structure. Source: OQMD, functional PBE.

a = 4.4802 Å, b = 4.4802 Å, c = 6.6868 Å
α = 90.00°, β = 90.00°, γ = 120.00°
Fractional coordinates of all 6 atoms:
Cu: 0.6667 0.3333 0.5390
Cu: 0.3333 0.6667 0.0571
Sn: 0.3333 0.6667 0.4656
Lu: 0.0000 0.0000 0.7318
Sn: 0.6667 0.3333 0.9755
Hf: 0.0000 0.0000 0.2310

## Properties
Crystal system: trigonal
Uncorrected energy in eV per atom: -5.388

---

(20)
A geometry-optimized U2Pt structure. Source: OQMD, functional PBE.

a = 8.7743 Å, b = 8.7743 Å, c = 8.7743 Å
α = 60.00°, β = 60.00°, γ = 60.00°
Fractional coordinates of all 6 atoms:
Pt: 0.5000 0.5000 0.5000
Pt: 0.2500 0.2500 0.2500
U: 0.3750 0.8750 0.3750
U: 0.3750 0.3750 0.8750
U: 0.3750 0.3750 0.3750
U: 0.8750 0.3750 0.3750

## Properties
Crystal system: cubic
Uncorrected energy in eV per atom: -7.599